Model A:
The following is a DFT calculation (GGA-PBEsol) of a relaxed structure of CaTa2Ag.

Values from the calculation:
**V**: 78 Å³/cell
**Spin magnetization**: 0.0 μB per formula unit
**DOS(E_F)**: 4.499 states/eV/cell

Lattice parameters (Å, degrees): 2.8297 2.8297 9.7366 90.00 90.00 90.00
Sites, in units of the cell vectors:
Ca: 0.5000 0.5000 0.5000
Ag: 0.5000 0.5000 0.0000
Ta: 0.0000 0.0000 0.7813
Ta: 0.0000 0.0000 0.2187

---

Model B:
The following is a DFT calculation (GGA-PBEsol) of a relaxed structure of CaTa2Ag.

Values from the calculation:
**V**: 78 Å³/cell
**Spin magnetization**: 0.0 μB per formula unit
**DOS(E_F)**: 3.649 states/eV/cell

Lattice parameters (Å, degrees): 2.8656 5.1319 6.0303 113.01 100.12 98.37
Sites, in units of the cell vectors:
Ca: 0.5000 0.0000 0.0000
Ag: 0.0000 0.5000 0.0000
Ta: 0.5000 0.5000 0.5000
Ta: 0.0000 0.0000 0.5000

---

model B has the most favorable energy; the next structure is 95 meV per atom above.